A plane-wave DFT calculation with PBE-GGA was carried out for an optimized crystal structure of TlP2AuO.

Computed properties:
The formation energy from raw total energies comes out at 0.687 eV/atom. The calculation puts the magnetization at 0.34 μB/cell.

abc: 5.0034 5.0034 4.0219
angles: 90.00 90.00 90.00
Last column: magnetic moment on the atom in μB.
Fractional coordinates of all 5 atoms:
Au (0.0000, 0.0000, 0.0000)  0.01
Tl (0.5000, 0.5000, 0.5000)  0.00
O (0.0000, 0.0000, 0.5000)  0.09
P (0.0000, 0.5000, 0.0000)  0.05
P (0.5000, 0.0000, 0.0000)  0.05


A plane-wave DFT calculation with PBE-GGA was carried out for an optimized crystal structure of TaBe2Au.

Computed properties:
The value obtained for the calculated total energy is -5.7177 eV per atom. The calculation puts the magnetization at 0.00 μB/cell.

abc: 2.8229 2.8229 6.5405
angles: 90.00 90.00 90.00
Fractional coordinates of all 4 atoms:
Ta (0.0000, 0.0000, 0.4587)
Au (0.5000, 0.5000, 0.8034)
Be (0.0000, 0.0000, 0.0378)
Be (0.5000, 0.5000, 0.2000)


A plane-wave DFT calculation with PBE-GGA was carried out for an optimized crystal structure of LaTbGe2Pt2.

Computed properties:
The value obtained for the calculated total energy is -6.2354 eV per atom. The calculation puts the magnetization at 0.00 μB/cell.

abc: 4.4604 4.4604 7.4455
angles: 90.00 90.00 120.00
Fractional coordinates of all 6 atoms:
Pt (0.3333, 0.6667, 0.7162)
Pt (0.6667, 0.3333, 0.2838)
Tb (0.0000, 0.0000, 0.5000)
Ge (0.3333, 0.6667, 0.2727)
Ge (0.6667, 0.3333, 0.7273)
La (0.0000, 0.0000, 0.0000)


A plane-wave DFT calculation with PBE-GGA was carried out for an optimized crystal structure of Sr4LiCa5.

Computed properties:
The value obtained for the calculated total energy is -1.7929 eV per atom. The calculation puts the magnetization at 0.00 μB/cell.

abc: 5.9310 9.2903 9.2903
angles: 84.15 71.39 71.39
Fractional coordinates of all 10 atoms:
Sr (0.5016, 0.6782, 0.3219)
Sr (0.8235, 0.6781, 0.6782)
Sr (0.5017, 0.3218, 0.6781)
Sr (0.1798, 0.3219, 0.3218)
Ca (0.8274, 0.9999, 0.3483)
Ca (0.1756, 0.0001, 0.6517)
Ca (0.8272, 0.3483, 0.0001)
Ca (0.1757, 0.6517, 0.9999)
Ca (0.4992, 0.0000, 0.0000)
Li (0.9986, 0.0000, 0.0000)


A plane-wave DFT calculation with PBE-GGA was carried out for an optimized crystal structure of MnZn2Au2.

Computed properties:
The value obtained for the calculated total energy is -3.7624 eV per atom. The calculation puts the magnetization at 4.00 μB/cell.

abc: 4.0414 4.9731 4.8133
angles: 84.29 65.18 66.03
Last column: magnetic moment on the atom in μB.
Fractional coordinates of all 5 atoms:
Mn (0.0000, 0.0000, 0.0000)  3.80
Zn (0.1973, 0.2166, 0.3888)  -0.02
Zn (0.8027, 0.7834, 0.6112)  -0.02
Au (0.5779, 0.6362, 0.2079)  0.03
Au (0.4221, 0.3638, 0.7921)  0.03


A plane-wave DFT calculation with PBE-GGA was carried out for an optimized crystal structure of NpPaRh2.

Computed properties:
The value obtained for the calculated total energy is -9.6770 eV per atom. The calculation puts the magnetization at 3.59 μB/cell.

abc: 3.9924 3.9924 6.8093
angles: 72.95 72.95 60.00
Last column: magnetic moment on the atom in μB.
Fractional coordinates of all 4 atoms:
Np (0.0000, 0.0000, 0.0000)  3.53
Rh (0.2501, 0.2501, 0.2498)  -0.12
Rh (0.7499, 0.7499, 0.7502)  -0.12
Pa (0.5000, 0.5000, 0.5000)  0.08


A plane-wave DFT calculation with PBE-GGA was carried out for an optimized crystal structure of CdFe3.

Computed properties:
The value obtained for the calculated total energy is -6.2090 eV per atom. The calculation puts the magnetization at 7.82 μB/cell.

abc: 2.7654 2.7654 8.6506
angles: 90.00 90.00 120.00
Last column: magnetic moment on the atom in μB.
Fractional coordinates of all 4 atoms:
Fe (0.3333, 0.6667, 0.2802)  2.70
Fe (0.3333, 0.6667, 0.7198)  2.70
Fe (0.0000, 0.0000, 0.5000)  2.53
Cd (0.0000, 0.0000, 0.0000)  -0.04


A plane-wave DFT calculation with PBE-GGA was carried out for an optimized crystal structure of PdPbAu.

Computed properties:
The value obtained for the calculated total energy is -4.1098 eV per atom. The calculation puts the magnetization at 0.00 μB/cell.

abc: 3.2287 4.6892 4.6892
angles: 120.00 90.00 90.00
Fractional coordinates of all 3 atoms:
Pd (0.3487, 0.3333, 0.6667)
Pb (0.6285, 0.6667, 0.3333)
Au (0.0227, 0.0000, 0.0000)


A plane-wave DFT calculation with PBE-GGA was carried out for an optimized crystal structure of RbMnTlCl5.

Computed properties:
The formation energy from raw total energies comes out at -1.194 eV/atom. The calculation puts the magnetization at 7.81 μB/cell.

abc: 8.6368 8.6368 10.1678
angles: 100.76 100.76 120.46
Last column: magnetic moment on the atom in μB.
Fractional coordinates of all 16 atoms:
Rb (0.0000, 0.0000, 0.5000)  0.00
Rb (0.0000, 0.0000, 0.0000)  0.00
Cl (0.1207, 0.8793, 0.2500)  -0.02
Cl (0.3147, 0.4917, 0.5743)  0.02
Cl (0.3022, 0.8730, 0.6292)  0.02
Cl (0.6853, 0.5083, 0.4257)  0.02
Cl (0.1270, 0.6978, 0.8708)  0.02
Cl (0.5083, 0.6853, 0.9257)  0.02
Cl (0.8793, 0.1207, 0.7500)  -0.02
Cl (0.8730, 0.3022, 0.1292)  0.02
Cl (0.6978, 0.1270, 0.3708)  0.02
Cl (0.4917, 0.3147, 0.0743)  0.02
Mn (0.6853, 0.3147, 0.2500)  3.54
Mn (0.3147, 0.6853, 0.7500)  3.54
Tl (0.6961, 0.3039, 0.7500)  -0.01
Tl (0.3039, 0.6961, 0.2500)  -0.01


A plane-wave DFT calculation with PBE-GGA was carried out for an optimized crystal structure of OsS2IN.

Computed properties:
The formation energy from raw total energies comes out at 0.587 eV/atom. The calculation puts the magnetization at 0.00 μB/cell.

abc: 4.9156 4.9156 3.7386
angles: 90.00 90.00 90.00
Fractional coordinates of all 5 atoms:
Os (0.0000, 0.0000, 0.0000)
S (0.0000, 0.5000, 0.0000)
S (0.5000, 0.0000, 0.0000)
I (0.5000, 0.5000, 0.5000)
N (0.0000, 0.0000, 0.5000)


A plane-wave DFT calculation with PBE-GGA was carried out for an optimized crystal structure of Nb2HgB.

Computed properties:
The value obtained for the calculated total energy is -6.6136 eV per atom. The calculation puts the magnetization at 0.00 μB/cell.

abc: 5.8936 4.8661 9.0747
angles: 90.00 96.50 90.00
Fractional coordinates of all 16 atoms:
Nb (0.9083, 0.0000, 0.2845)
Nb (0.7008, 0.0000, 0.8981)
Nb (0.2703, 0.5000, 0.2495)
Nb (0.2703, 0.0000, 0.7495)
Nb (0.7008, 0.5000, 0.3981)
Nb (0.1921, 0.5000, 0.5575)
Nb (0.9083, 0.5000, 0.7845)
Nb (0.1921, 0.0000, 0.0575)
B (0.5439, 0.6752, 0.7012)
B (0.5439, 0.3248, 0.7012)
B (0.5439, 0.8248, 0.2012)
B (0.5439, 0.1752, 0.2012)
Hg (0.8357, 0.5000, 0.0893)
Hg (0.3720, 0.5000, 0.9348)
Hg (0.8357, 0.0000, 0.5893)
Hg (0.3720, 0.0000, 0.4348)


A plane-wave DFT calculation with PBE-GGA was carried out for an optimized crystal structure of CaEu2Ag.

Computed properties:
The value obtained for the calculated total energy is -6.3893 eV per atom. The calculation puts the magnetization at 15.03 μB/cell.

abc: 3.9924 3.9924 11.1206
angles: 79.66 79.66 60.00
Last column: magnetic moment on the atom in μB.
Fractional coordinates of all 4 atoms:
Ag (0.0000, 0.0000, 0.0000)  0.01
Eu (0.2670, 0.2670, 0.1991)  6.97
Eu (0.7330, 0.7330, 0.8009)  6.97
Ca (0.5000, 0.5000, 0.5000)  0.04


A plane-wave DFT calculation with PBE-GGA was carried out for an optimized crystal structure of MgTe2H.

Computed properties:
The value obtained for the calculated total energy is -2.4926 eV per atom. The calculation puts the magnetization at 0.57 μB/cell.

abc: 4.9611 4.9611 4.9611
angles: 60.00 60.00 60.00
Last column: magnetic moment on the atom in μB.
Fractional coordinates of all 4 atoms:
Te (0.2500, 0.2500, 0.2500)  0.02
Te (0.7500, 0.7500, 0.7500)  0.02
H (0.0000, 0.0000, 0.0000)  0.20
Mg (0.5000, 0.5000, 0.5000)  0.01


A plane-wave DFT calculation with PBE-GGA was carried out for an optimized crystal structure of Rb2Tb4S3O2.

Computed properties:
The formation energy from raw total energies comes out at -1.883 eV/atom. The calculation puts the magnetization at 0.00 μB/cell.

abc: 4.5754 4.5754 15.3921
angles: 98.55 98.55 90.00
Fractional coordinates of all 11 atoms:
Tb (0.4397, 0.9397, 0.8794)
Tb (0.0603, 0.5603, 0.1206)
Tb (0.9397, 0.4397, 0.8794)
Tb (0.5603, 0.0603, 0.1206)
O (0.4272, 0.4272, 0.8543)
O (0.5728, 0.5728, 0.1457)
S (0.8825, 0.8825, 0.7650)
S (0.0000, 0.0000, 0.0000)
S (0.1175, 0.1175, 0.2350)
Rb (0.3256, 0.3256, 0.6511)
Rb (0.6744, 0.6744, 0.3489)


A plane-wave DFT calculation with PBE-GGA was carried out for an optimized crystal structure of CaPm2InHg4.

Computed properties:
The value obtained for the calculated total energy is -2.4102 eV per atom. The calculation puts the magnetization at 0.00 μB/cell.

abc: 5.2548 5.2548 9.2764
angles: 73.55 73.55 60.00
Fractional coordinates of all 8 atoms:
Hg (0.1211, 0.1211, 0.6366)
Hg (0.8789, 0.8789, 0.3634)
Hg (0.6315, 0.6315, 0.1055)
Hg (0.3685, 0.3685, 0.8945)
Ca (0.0000, 0.0000, 0.0000)
In (0.5000, 0.5000, 0.5000)
Pm (0.2436, 0.2436, 0.2693)
Pm (0.7564, 0.7564, 0.7307)


A plane-wave DFT calculation with PBE-GGA was carried out for an optimized crystal structure of MgUNiRu.

Computed properties:
The value obtained for the calculated total energy is -7.0700 eV per atom. The calculation puts the magnetization at 1.63 μB/cell.

abc: 4.5873 4.5873 4.5873
angles: 60.00 60.00 60.00
Last column: magnetic moment on the atom in μB.
Fractional coordinates of all 4 atoms:
U (0.5000, 0.5000, 0.5000)  1.71
Mg (0.0000, 0.0000, 0.0000)  0.01
Ni (0.7500, 0.7500, 0.7500)  -0.12
Ru (0.2500, 0.2500, 0.2500)  -0.11


A plane-wave DFT calculation with PBE-GGA was carried out for an optimized crystal structure of LiPmPaRe.

Computed properties:
The value obtained for the calculated total energy is -6.9461 eV per atom. The calculation puts the magnetization at 0.00 μB/cell.

abc: 4.9697 4.9697 4.9697
angles: 60.00 60.00 60.00
Fractional coordinates of all 4 atoms:
Pa (0.7500, 0.7500, 0.7500)
Re (0.0000, 0.0000, 0.0000)
Pm (0.2500, 0.2500, 0.2500)
Li (0.5000, 0.5000, 0.5000)


A plane-wave DFT calculation with PBE-GGA was carried out for an optimized crystal structure of PmAl2Rh.

Computed properties:
The value obtained for the calculated total energy is -5.5263 eV per atom. The calculation puts the magnetization at 0.00 μB/cell.

abc: 3.1617 3.1617 7.4498
angles: 90.00 90.00 90.00
Fractional coordinates of all 4 atoms:
Al (0.0000, 0.0000, 0.1865)
Al (0.0000, 0.0000, 0.8135)
Pm (0.5000, 0.5000, 0.5000)
Rh (0.5000, 0.5000, 0.0000)


A plane-wave DFT calculation with PBE-GGA was carried out for an optimized crystal structure of BaAl2NO2.

Computed properties:
The formation energy from raw total energies comes out at -1.818 eV/atom. The calculation puts the magnetization at 0.00 μB/cell.

abc: 5.0652 5.7034 6.9208
angles: 96.74 90.00 90.00
Fractional coordinates of all 12 atoms:
O (0.7500, 0.8131, 0.6759)
O (0.2500, 0.6198, 0.7313)
O (0.7500, 0.3802, 0.2687)
O (0.2500, 0.1869, 0.3241)
Ba (0.7500, 0.2871, 0.6323)
Ba (0.2500, 0.7129, 0.3677)
Al (0.4991, 0.8062, 0.8684)
Al (0.5009, 0.1938, 0.1316)
Al (0.9991, 0.1938, 0.1316)
Al (0.0009, 0.8062, 0.8684)
N (0.2500, 0.0558, 0.9349)
N (0.7500, 0.9442, 0.0651)


A plane-wave DFT calculation with PBE-GGA was carried out for an optimized crystal structure of PrAgAsO.

Computed properties:
The formation energy from raw total energies comes out at -1.563 eV/atom. The calculation puts the magnetization at 0.00 μB/cell.

abc: 4.1491 4.1491 9.2107
angles: 90.00 90.00 90.00
Fractional coordinates of all 8 atoms:
Pr (0.0000, 0.5000, 0.3730)
Pr (0.5000, 0.0000, 0.6270)
O (0.5000, 0.5000, 0.5000)
O (0.0000, 0.0000, 0.5000)
Ag (0.0000, 0.0000, 0.0000)
Ag (0.5000, 0.5000, 0.0000)
As (0.0000, 0.5000, 0.8144)
As (0.5000, 0.0000, 0.1856)